[1]
A plane-wave DFT calculation with PBE-GGA was carried out for Bi2TeS after structural relaxation.

Summary:
Uncorrected formation energy = -0.051 eV/atom
Space group = No. 160
Total moment = 0.0000 μB per atom
N(E_F) = 1.4 states/eV/f.u.
Offset from the most stable computed form = 37 meV per atom

```
4
Lattice="3.999 0.000 0.000 1.999 3.463 0.000 1.999 1.154 8.389" Properties=species:S:1:pos:R:3 pbc="T T T"
Bi 1.999 1.154 1.923
Bi 1.999 1.154 6.484
Te 3.999 2.309 4.280
S 5.998 3.463 8.287
```


[2]
A plane-wave DFT calculation with PBE-GGA was carried out for Bi2Te2S after structural relaxation.

Summary:
Uncorrected formation energy = -0.145 eV/atom
Space group = No. 72
Total moment = 0.0000 μB per atom
Offset from the most stable computed form = 145 meV per atom

```
10
Lattice="-1.542 -2.614 5.762 5.524 -4.940 2.918 4.464 2.607 6.058" Properties=species:S:1:pos:R:3 pbc="T T T"
S 4.608 -1.819 5.928
S 3.837 -3.126 8.809
Bi 4.081 -2.982 3.420
Bi 4.365 -1.964 11.317
Bi 5.638 -4.232 6.949
Bi 2.808 -0.714 7.788
Te 1.012 -2.277 2.918
Te -0.043 -1.563 6.640
Te 7.434 -2.669 11.819
Te 8.489 -3.383 8.098
```


[3]
A plane-wave DFT calculation with PBE-GGA was carried out for Bi2TeS6 after structural relaxation.

Summary:
Uncorrected formation energy = 0.011 eV/atom
Space group = No. 12
Total moment = 0.0000 μB per atom
N(E_F) = 6.5 states/eV/f.u.
Offset from the most stable computed form = 0 meV per atom

```
9
Lattice="3.803 0.000 0.694 1.972 6.031 -0.039 0.088 -1.022 10.283" Properties=species:S:1:pos:R:3 pbc="T T T"
S 0.881 0.853 5.938
S 3.342 1.169 3.221
S 2.522 3.841 7.718
S 4.983 4.157 5.000
S 3.716 4.595 1.175
S 2.148 0.415 9.763
Bi 4.229 2.142 9.128
Bi 1.635 2.868 1.810
Te 2.932 2.505 5.469
```


[4]
A plane-wave DFT calculation with PBE-GGA was carried out for Tl2BiTeS4 after structural relaxation.

Summary:
Uncorrected formation energy = -0.205 eV/atom
Space group = No. 10
Total moment = 0.0000 μB per atom
N(E_F) = 2.0 states/eV/f.u.

```
8
Lattice="-2.535 3.113 -0.333 0.115 -0.713 -7.544 -5.549 -4.748 -2.141" Properties=species:S:1:pos:R:3 pbc="T T T"
Bi -2.717 -2.730 -4.843
Tl -4.042 -0.817 -1.237
Tl -5.549 -4.748 -2.141
S -5.211 -2.035 -3.729
S -2.758 -0.312 -6.289
S -4.237 -4.185 -6.875
S -3.732 1.838 -3.143
Te -6.759 -3.547 -6.080
```


[5]
A plane-wave DFT calculation with PBE-GGA was carried out for TlBiTeS after structural relaxation.

Summary:
Uncorrected formation energy = -0.323 eV/atom
Space group = No. 160
Total moment = 0.0000 μB per atom

```
4
Lattice="-3.304 -2.216 -1.630 3.794 -1.930 0.604 -1.312 0.022 8.300" Properties=species:S:1:pos:R:3 pbc="T T T"
S -1.948 -1.366 4.737
Te 3.139 -2.090 1.078
Bi -0.004 -1.663 6.868
Tl -2.270 -2.917 1.830
```


[6]
A plane-wave DFT calculation with PBE-GGA was carried out for Y4BiTe2S after structural relaxation.

Summary:
Uncorrected formation energy = -1.213 eV/atom
Space group = No. 63
Total moment = 0.0000 μB per atom
N(E_F) = 4.5 states/eV/f.u.

```
16
Lattice="4.275 0.000 0.000 -2.137 7.178 0.000 0.000 0.000 15.546" Properties=species:S:1:pos:R:3 pbc="T T T"
Te 0.000 5.157 14.587
Te 0.000 5.157 8.732
Te 2.137 2.021 0.959
Te 2.137 2.021 6.814
Y 0.000 6.285 11.660
Y 0.000 4.233 1.939
Y 2.137 2.945 9.712
Y 0.000 0.000 7.773
Y 0.000 0.000 0.000
Y 2.137 2.945 13.607
Y 2.137 0.893 3.887
Y 0.000 4.233 5.834
Bi 0.000 1.443 11.660
Bi 2.137 5.735 3.887
S 2.137 4.718 11.660
S 0.000 2.460 3.887
```


[7]
A plane-wave DFT calculation with PBE-GGA was carried out for Th2BiS after structural relaxation.

Summary:
Uncorrected formation energy = -1.126 eV/atom
Space group = No. 160
Total moment = 0.0000 μB per atom
N(E_F) = 4.5 states/eV/f.u.
Offset from the most stable computed form = 57 meV per atom

```
4
Lattice="4.207 0.000 0.000 2.104 3.644 0.000 2.104 1.215 7.514" Properties=species:S:1:pos:R:3 pbc="T T T"
Th 2.104 1.215 1.537
Th 2.104 1.215 5.973
Bi 4.207 2.429 3.776
S 6.311 3.644 7.500
```


[8]
A plane-wave DFT calculation with PBE-GGA was carried out for Th2BiS after structural relaxation.

Summary:
Uncorrected formation energy = -1.183 eV/atom
Space group = No. 166
Total moment = 0.0000 μB per atom
N(E_F) = 3.4 states/eV/f.u.
Offset from the most stable computed form = 0 meV per atom

```
4
Lattice="-3.818 1.953 0.317 -3.461 -1.726 -1.880 -3.818 -3.611 5.425" Properties=species:S:1:pos:R:3 pbc="T T T"
Th -8.388 -2.711 3.175
Th -2.709 -0.673 0.687
Bi -5.548 -1.692 1.931
S 0.000 0.000 0.000
```


[9]
A plane-wave DFT calculation with PBE-GGA was carried out for ThBiS after structural relaxation.

Summary:
Uncorrected formation energy = -1.042 eV/atom
Space group = No. 107
Total moment = 0.0000 μB per atom
N(E_F) = 1.7 states/eV/f.u.
Offset from the most stable computed form = 100 meV per atom

```
3
Lattice="-1.867 -0.719 3.106 3.158 0.079 1.917 -1.380 6.372 -1.551" Properties=species:S:1:pos:R:3 pbc="T T T"
S -0.431 3.553 0.564
Th 0.343 2.170 2.906
Bi -0.001 0.009 0.001
```


[10]
A plane-wave DFT calculation with PBE-GGA was carried out for ThBiS after structural relaxation.

Summary:
Uncorrected formation energy = -1.143 eV/atom
Space group = No. 129
Total moment = 0.0000 μB per atom
N(E_F) = 3.0 states/eV/f.u.
Offset from the most stable computed form = 0 meV per atom

```
6
Lattice="-3.713 -0.699 -2.555 -2.492 -0.570 3.777 -1.616 8.040 0.146" Properties=species:S:1:pos:R:3 pbc="T T T"
S -3.103 -0.635 0.611
S 0.000 0.000 0.000
Bi -1.885 2.893 1.946
Bi -2.833 4.513 -1.189
Th -2.178 1.253 -1.249
Th -2.540 6.153 2.006
```


[11]
A plane-wave DFT calculation with PBE-GGA was carried out for TiBiS2 after structural relaxation.

Summary:
Uncorrected formation energy = -0.949 eV/atom
Space group = No. 15
Total moment = 0.0000 μB per atom
N(E_F) = 2.4 states/eV/f.u.

```
8
Lattice="5.957 0.003 0.033 -0.002 3.452 0.013 0.917 -1.751 8.608" Properties=species:S:1:pos:R:3 pbc="T T T"
S 2.246 -0.122 7.726
S 4.245 -0.102 4.866
S 1.266 1.614 4.856
S 5.224 1.613 7.749
Ti 3.245 1.613 6.302
Ti 6.225 -0.111 6.312
Bi 1.297 1.521 1.986
Bi 4.276 0.009 1.998
```


[12]
A plane-wave DFT calculation with PBE-GGA was carried out for Ti7Bi2S2 after structural relaxation.

Summary:
Uncorrected formation energy = -0.355 eV/atom
Space group = No. 12
Total moment = 0.0005 μB per atom
N(E_F) = 14.0 states/eV/f.u.

```
11
Lattice="5.436 -0.054 -0.062 -0.346 6.260 1.431 -0.346 0.586 6.394" Properties=species:S:1:pos:R:3 pbc="T T T"
Bi -0.346 1.728 5.395
Bi -0.346 5.117 2.431
Ti 3.465 3.707 6.421
Ti 1.227 3.814 4.361
Ti 2.718 -0.027 -0.031
Ti 1.279 3.084 1.343
Ti 3.516 2.977 3.403
Ti 1.279 0.921 3.236
Ti 3.465 5.871 4.528
S 3.076 1.479 1.691
S 1.668 5.312 6.073
```